TaZnI2N: optimized geometry, PBEsol.

a b c (Å): 5.507 5.507 3.536
angles (deg): 90.00 90.00 90.00
Element x y z (fractional)
Ta: 0.000 0.000 0.000
Zn: 0.500 0.500 0.500
I: 0.000 0.500 0.500
I: 0.500 0.000 0.500
N: 0.500 0.500 0.000

Properties
The value obtained for the density of states at the Fermi level is 5.8 states/eV per cell. Its space group is No. 123. Its relative energy among the computed polymorphs is 1.101 eV/atom. The calculation puts the raw formation energy at 116.4 kJ/mol of atoms.

CeCO: optimized geometry, PBEsol.

a b c (Å): 6.741 3.816 6.735
angles (deg): 90.00 97.21 90.00
Element x y z (fractional)
Ce: 0.196 0.000 0.227
Ce: 0.304 0.500 0.773
Ce: 0.696 0.500 0.227
Ce: 0.804 0.000 0.773
C: 0.060 0.500 0.431
C: 0.440 0.000 0.569
C: 0.560 0.000 0.431
C: 0.940 0.500 0.569
O: 0.151 0.000 0.876
O: 0.349 0.500 0.124
O: 0.651 0.500 0.876
O: 0.849 0.000 0.124

Properties
The value obtained for the density of states at the Fermi level is 10.0 states/eV per cell. Its space group is No. 12. The calculation puts the raw formation energy at -176.1 kJ/mol of atoms.

CoW2Cl: optimized geometry, PBEsol.

a b c (Å): 6.164 6.164 6.164
angles (deg): 90.00 90.00 90.00
Element x y z (fractional)
Co: 0.000 0.000 0.000
Co: 0.000 0.500 0.500
Co: 0.500 0.000 0.500
Co: 0.500 0.500 0.000
W: 0.000 0.000 0.500
W: 0.000 0.500 0.000
W: 0.250 0.250 0.250
W: 0.250 0.750 0.750
W: 0.500 0.000 0.000
W: 0.500 0.500 0.500
W: 0.750 0.250 0.750
W: 0.750 0.750 0.250
Cl: 0.250 0.250 0.750
Cl: 0.250 0.750 0.250
Cl: 0.750 0.250 0.250
Cl: 0.750 0.750 0.750

Properties
The value obtained for the density of states at the Fermi level is 13.6 states/eV per cell. Its space group is No. 216. Its relative energy among the computed polymorphs is 0.659 eV/atom. The calculation puts the raw formation energy at 110.1 kJ/mol of atoms.

Li3V4O8: optimized geometry, PBEsol.

a b c (Å): 5.916 5.916 5.916
angles (deg): 57.51 57.51 57.51
Element x y z (fractional)
Li: 0.000 0.000 0.000
Li: 0.144 0.144 0.144
Li: 0.856 0.856 0.856
V: 0.000 0.500 0.500
V: 0.500 0.000 0.500
V: 0.500 0.500 0.000
V: 0.500 0.500 0.500
O: 0.253 0.253 0.732
O: 0.253 0.732 0.253
O: 0.264 0.264 0.264
O: 0.268 0.747 0.747
O: 0.732 0.253 0.253
O: 0.736 0.736 0.736
O: 0.747 0.268 0.747
O: 0.747 0.747 0.268

Properties
The value obtained for the density of states at the Fermi level is 8.0 states/eV per cell. Its space group is No. 166. Its relative energy among the computed polymorphs is 0.005 eV/atom. The calculation puts the raw formation energy at -217.9 kJ/mol of atoms.

LiTeH12N4: optimized geometry, PBEsol.

a b c (Å): 6.649 7.193 8.207
angles (deg): 99.97 113.33 93.64
Element x y z (fractional)
Li: 0.091 0.418 0.288
Li: 0.909 0.582 0.712
Te: 0.488 0.053 0.842
Te: 0.512 0.947 0.158
H: 0.038 0.903 0.679
H: 0.067 0.783 0.024
H: 0.095 0.385 0.953
H: 0.183 0.145 0.516
H: 0.203 0.211 0.050
H: 0.212 0.094 0.323
H: 0.245 0.530 0.644
H: 0.287 0.393 0.792
H: 0.304 0.722 0.312
H: 0.331 0.629 0.862
H: 0.336 0.763 0.526
H: 0.496 0.635 0.462
H: 0.504 0.365 0.538
H: 0.664 0.237 0.474
H: 0.669 0.371 0.138
H: 0.696 0.278 0.688
H: 0.713 0.607 0.208
H: 0.755 0.470 0.356
H: 0.788 0.906 0.677
H: 0.797 0.789 0.950
H: 0.817 0.855 0.484
H: 0.905 0.615 0.047
H: 0.933 0.217 0.976
H: 0.962 0.097 0.321
N: 0.086 0.302 0.041
N: 0.124 0.168 0.385
N: 0.225 0.517 0.760
N: 0.334 0.658 0.421
N: 0.666 0.342 0.579
N: 0.775 0.483 0.240
N: 0.876 0.832 0.615
N: 0.914 0.698 0.959

Properties
As for the final energy: -4.85 eV/atom. Its space group is No. 2.

Ta4Mo: optimized geometry, PBEsol.

a b c (Å): 3.231 3.231 16.364
angles (deg): 90.00 90.00 90.00
Element x y z (fractional)
Ta: 0.000 0.000 0.096
Ta: 0.000 0.000 0.301
Ta: 0.000 0.000 0.699
Ta: 0.000 0.000 0.904
Ta: 0.500 0.500 0.199
Ta: 0.500 0.500 0.404
Ta: 0.500 0.500 0.596
Ta: 0.500 0.500 0.801
Mo: 0.000 0.000 0.500
Mo: 0.500 0.500 0.000

Properties
The value obtained for the density of states at the Fermi level is 11.7 states/eV per cell. Its space group is No. 139. Its relative energy among the computed polymorphs is 0.012 eV/atom.